# LaAl2FeHg (PBE, relaxed)
# space-group type = P4/mmm
data_LaAl2FeHg
_chemical_formula_sum 'La1 Al2 Fe1 Hg1'
_space_group_name_H-M_alt 'P 1'
_space_group_IT_number 1
_cell_length_a 4.6057
_cell_length_b 4.6057
_cell_length_c 5.0522
_cell_angle_alpha 90.00
_cell_angle_beta 90.00
_cell_angle_gamma 90.00
loop_
_space_group_symop_operation_xyz
'x,y,z'
loop_
_atom_site_label
_atom_site_type_symbol
_atom_site_fract_x
_atom_site_fract_y
_atom_site_fract_z
La1 La 0.0000 0.0000 0.0000
Al1 Al 0.0000 0.5000 0.5000
Al2 Al 0.5000 0.0000 0.5000
Fe1 Fe 0.5000 0.5000 0.5000
Hg1 Hg 0.5000 0.5000 0.0000

=====

# La6CeNd (PBE, relaxed)
# space-group type = P4/mmm
data_La6CeNd
_chemical_formula_sum 'La6 Ce1 Nd1'
_space_group_name_H-M_alt 'P 1'
_space_group_IT_number 1
_cell_length_a 5.1994
_cell_length_b 5.1994
_cell_length_c 10.4181
_cell_angle_alpha 90.00
_cell_angle_beta 90.00
_cell_angle_gamma 90.00
loop_
_space_group_symop_operation_xyz
'x,y,z'
loop_
_atom_site_label
_atom_site_type_symbol
_atom_site_fract_x
_atom_site_fract_y
_atom_site_fract_z
La1 La 0.0000 0.0000 0.0000
La2 La 0.0000 0.0000 0.5000
La3 La 0.0000 0.5000 0.2428
La4 La 0.0000 0.5000 0.7572
La5 La 0.5000 0.0000 0.2428
La6 La 0.5000 0.0000 0.7572
Ce1 Ce 0.5000 0.5000 0.0000
Nd1 Nd 0.5000 0.5000 0.5000

=====

# ErTm3Sn3 (PBE, relaxed)
# space-group type = P6_3/m
data_ErTm3Sn3
_chemical_formula_sum 'Er2 Tm6 Sn6'
_space_group_name_H-M_alt 'P 1'
_space_group_IT_number 1
_cell_length_a 8.9555
_cell_length_b 8.9555
_cell_length_c 5.4142
_cell_angle_alpha 90.00
_cell_angle_beta 90.00
_cell_angle_gamma 120.00
loop_
_space_group_symop_operation_xyz
'x,y,z'
loop_
_atom_site_label
_atom_site_type_symbol
_atom_site_fract_x
_atom_site_fract_y
_atom_site_fract_z
Er1 Er 0.3333 0.6667 0.2500
Er2 Er 0.6667 0.3333 0.7500
Tm1 Tm 0.0085 0.7707 0.2500
Tm2 Tm 0.2293 0.2378 0.2500
Tm3 Tm 0.2378 0.0085 0.7500
Tm4 Tm 0.7622 0.9915 0.2500
Tm5 Tm 0.7707 0.7622 0.7500
Tm6 Tm 0.9915 0.2293 0.7500
Sn1 Sn 0.0771 0.6233 0.7500
Sn2 Sn 0.3767 0.4538 0.7500
Sn3 Sn 0.4538 0.0771 0.2500
Sn4 Sn 0.5462 0.9229 0.7500
Sn5 Sn 0.6233 0.5462 0.2500
Sn6 Sn 0.9229 0.3767 0.2500

=====

# HoTmSnHg (PBE, relaxed)
# space-group type = P4mm
data_HoTmSnHg
_chemical_formula_sum 'Ho1 Tm1 Sn1 Hg1'
_space_group_name_H-M_alt 'P 1'
_space_group_IT_number 1
_cell_length_a 3.7735
_cell_length_b 3.7735
_cell_length_c 7.2180
_cell_angle_alpha 90.00
_cell_angle_beta 90.00
_cell_angle_gamma 90.00
loop_
_space_group_symop_operation_xyz
'x,y,z'
loop_
_atom_site_label
_atom_site_type_symbol
_atom_site_fract_x
_atom_site_fract_y
_atom_site_fract_z
Ho1 Ho 0.0000 0.0000 0.0000
Tm1 Tm 0.0000 0.0000 0.5068
Sn1 Sn 0.5000 0.5000 0.2555
Hg1 Hg 0.5000 0.5000 0.7484

=====

D(E_F) (computed, states/eV per atom): 0.580, 2.021, 0.859, 0.505
Total moment (computed, μB/atom): 0.10, 0.14, 0.00, 0.00
Total energy (computed, eV/cell): -22.220, -40.012, -66.879, -15.483